The following is a GGA-PBE calculation of a relaxed Ac2Ag6Pd3 crystal, from the Alexandria database.

* calculated density: 9593 kg/m³
* V: 246 Å³/cell
* M_tot: 0.000 μB/atom
* VASP energy: -44.54 eV for the cell shown
* crystal system: hexagonal

a = 8.1019 Å, b = 8.1019 Å, c = 4.3252 Å
α = 90.00°, β = 90.00°, γ = 120.00°
With the nearest neighbours (Å) after each atom.
Space group P-62m (No. 189)
Symmetry-distinct sites (fractional):
Ac: 0.3333 0.6667 0.0000  6 Pd 3.26, 3 Ag 3.37
Ag: 0.0000 0.2514 0.5000  3 Pd 2.72-2.92, 4 Ag 2.86
Ag: 0.0000 0.7991 0.0000  2 Pd 2.76, 6 Ag 2.82-2.86
Pd: 0.0000 0.5873 0.5000  5 Ag 2.72-2.92